# 1
# KGa2Tc, relaxed, DFT PBE-GGA
# - distance to the lowest polymorph of the same formula (eV per atom) = 0.000
# - theoretical density (g/cm3) = 3.27
# - formation energy from the elements (eV/f.u.) = 1.80
# - calculated volume (Å³/atom) = 35.07
data_KGa2Tc
_chemical_formula_sum 'K4 Ga8 Tc4'
_cell_length_a 6.224
_cell_length_b 6.224
_cell_length_c 14.485
_cell_angle_alpha 90.00
_cell_angle_beta 90.00
_cell_angle_gamma 90.00
_symmetry_space_group_name_H-M 'I 41/a m d'
_symmetry_Int_Tables_number 141
loop_
_symmetry_equiv_pos_as_xyz
'x,y,z'
'-x,-y,-z'
'-y+1/4,x+3/4,z+1/4'
'y+1/4,-x+3/4,-z+1/4'
'-x+1/2,-y,z+1/2'
'x+1/2,y,-z+1/2'
'y+1/4,-x+1/4,z+3/4'
'-y+1/4,x+1/4,-z+3/4'
'x,-y,-z'
'-x,y,z'
'-y+1/4,-x+1/4,-z+3/4'
'y+1/4,x+1/4,z+3/4'
'-x+1/2,y,-z+1/2'
'x+1/2,-y,z+1/2'
'y+1/4,x+3/4,-z+1/4'
'-y+1/4,-x+3/4,z+1/4'
'x+1/2,y+1/2,z+1/2'
'-x+1/2,-y+1/2,-z+1/2'
'-y+3/4,x+1/4,z+3/4'
'y+3/4,-x+1/4,-z+3/4'
'-x,-y+1/2,z'
'x,y+1/2,-z'
'y+3/4,-x+3/4,z+1/4'
'-y+3/4,x+3/4,-z+1/4'
'x+1/2,-y+1/2,-z+1/2'
'-x+1/2,y+1/2,z+1/2'
'-y+3/4,-x+3/4,-z+1/4'
'y+3/4,x+3/4,z+1/4'
'-x,y+1/2,-z'
'x,-y+1/2,z'
'y+3/4,x+1/4,-z+3/4'
'-y+3/4,-x+1/4,z+3/4'
loop_
_atom_site_label
_atom_site_fract_x
_atom_site_fract_y
_atom_site_fract_z
K1 0.000 0.250 0.375
Ga1 0.000 0.000 0.000
Tc1 0.000 0.250 0.875

# 2
# K2TlBi3Pd4, relaxed, DFT PBE-GGA
# - theoretical density (g/cm3) = 8.33
# - formation energy from the elements (eV/f.u.) = -3.00
# - calculated volume (Å³/atom) = 26.61
data_K2TlBi3Pd4
_chemical_formula_sum 'K2 Tl1 Bi3 Pd4'
_cell_length_a 4.964
_cell_length_b 4.964
_cell_length_c 10.798
_cell_angle_alpha 90.00
_cell_angle_beta 90.00
_cell_angle_gamma 90.00
_symmetry_space_group_name_H-M 'P -4 m 2'
_symmetry_Int_Tables_number 115
loop_
_symmetry_equiv_pos_as_xyz
'x,y,z'
'y,-x,-z'
'-x,-y,z'
'-y,x,-z'
'-x,y,z'
'-y,-x,-z'
'x,-y,z'
'y,x,-z'
loop_
_atom_site_label
_atom_site_fract_x
_atom_site_fract_y
_atom_site_fract_z
K1 0.000 0.500 0.244
Tl1 0.000 0.000 0.500
Bi1 0.000 0.500 0.883
Bi2 0.500 0.500 0.500
Pd1 0.000 0.000 0.000
Pd2 0.000 0.500 0.626
Pd3 0.500 0.500 0.000